1.
An optimized crystal structure of MgCd2Sb, computed with GGA-PBE.

Results
Raw formation energy in meV/atom: -10.7
Magnetic moment in μB per cell: 0.00

a = 6.1558 Å, b = 9.3557 Å, c = 3.3274 Å
α = 90.00°, β = 90.00°, γ = 90.00°
Closest atoms and distances in Å follow each position.
Space group Cmmm (No. 65)
Inequivalent atoms, fractional coordinates:
Mg 0.0000 0.0000 0.0000 (multiplicity 2)  2 Sb 3.08, 8 Cd 3.26, 2 Mg 3.33
Cd 0.2500 0.2500 0.5000 (multiplicity 4)  4 Cd 3.08-3.33, 4 Sb 3.26, 4 Mg 3.26
Sb 0.0000 0.5000 0.0000 (multiplicity 2)  2 Mg 3.08, 8 Cd 3.26, 2 Sb 3.33

2.
An optimized crystal structure of Mg2CdSb, computed with GGA-PBE.

Results
Raw formation energy in meV/atom: -136.2
Excess energy over the best structure of this formula in the dataset in meV per atom: 16
Magnetic moment in μB per cell: 0.00

a = 4.4831 Å, b = 4.4831 Å, c = 18.3884 Å
α = 90.00°, β = 90.00°, γ = 120.00°
Closest atoms and distances in Å follow each position.
Space group R3m (No. 160, hexagonal axes)
Inequivalent atoms, fractional coordinates:
Mg 0.0000 0.0000 0.0000 (multiplicity 3)  3 Sb 2.95, 3 Cd 3.05
Mg 0.0000 0.0000 0.1821 (multiplicity 3)  3 Sb 2.93, 3 Cd 3.11
Cd 0.0000 0.0000 0.4214 (multiplicity 3)  6 Mg 3.05-3.11, 1 Sb 3.10
Sb 0.0000 0.0000 0.5899 (multiplicity 3)  6 Mg 2.93-2.95, 1 Cd 3.10